(1)
MnFeBP after structural relaxation. Source: Alexandria, functional PBE.

Computed properties:
V = 42.6 Å³/cell
SG = Cm
uncorrected energy = -0.5588 Ry per atom
energy relative to the lowest polymorph listed for this composition = 0.134 eV/atom
D(E_F) = 0.60 states/eV per atom

POSCAR file:
```
MnFeBP
1.0
-0.868 0.498 -2.713
1.183 -3.665 0.490
-4.046 -0.018 1.291
P B Mn Fe
1 1 1 1
direct
0.307 0.925 0.112 P
0.685 0.682 0.775 B
0.625 0.563 0.270 Mn
0.376 0.063 0.654 Fe
```

(2)
CoSbBr2 after structural relaxation. Source: Alexandria, functional PBE.

Computed properties:
V = 107.7 Å³/cell
SG = Cmm2
uncorrected energy = -0.2586 Ry per atom
energy relative to the lowest polymorph listed for this composition = 0.260 eV/atom
D(E_F) = 1.47 states/eV per atom

POSCAR file:
```
CoSbBr2
1.0
-1.233 -1.134 3.248
2.808 -1.806 -1.487
5.836 5.631 4.182
Br Co Sb
2 1 1
direct
0.000 0.000 0.947 Br
0.500 0.500 0.345 Br
0.000 0.000 0.511 Co
0.500 0.500 0.697 Sb
```

(3)
Tb4B3TeRh12 after structural relaxation. Source: Alexandria, functional PBE.

Computed properties:
V = 331.8 Å³/cell
SG = Im-3m
uncorrected energy = -0.5208 Ry per atom
D(E_F) = 0.60 states/eV per atom

POSCAR file:
```
Tb4B3TeRh12
1.0
-5.554 3.978 3.222
-0.708 -7.284 1.870
6.675 2.583 2.415
Tb B Te Rh
4 3 1 12
direct
0.500 0.500 0.500 Tb
0.000 0.000 0.500 Tb
0.500 0.000 0.000 Tb
0.000 0.500 0.000 Tb
0.500 0.000 0.500 B
0.500 0.500 0.000 B
0.000 0.500 0.500 B
0.000 0.000 0.000 Te
0.250 0.500 0.750 Rh
0.724 0.000 0.724 Rh
0.276 0.000 0.276 Rh
0.750 0.500 0.250 Rh
0.724 0.724 0.000 Rh
0.276 0.276 0.000 Rh
0.750 0.250 0.500 Rh
0.250 0.750 0.500 Rh
0.500 0.250 0.750 Rh
0.000 0.724 0.724 Rh
0.500 0.750 0.250 Rh
0.000 0.276 0.276 Rh
```